(1)
Here is a geometry-optimized PaInTcPd structure from the Alexandria database. Energies are from PBE.

Summary:
Magnetic moment   0.000 Bohr magnetons per cell
E_tot   -7.1921 eV per atom

abc: 4.8003 4.8003 4.8003
angles: 60.00 60.00 60.00
Last column: nearest neighbours and their distance in Å.
Sites, in units of the cell vectors:
Tc 0.5000 0.5000 0.5000  4 In 2.94, 4 Pa 2.94
Pd 0.0000 0.0000 0.0000  4 Pa 2.94, 4 In 2.94
In 0.7500 0.7500 0.7500  4 Tc 2.94, 4 Pd 2.94
Pa 0.2500 0.2500 0.2500  4 Tc 2.94, 4 Pd 2.94



(2)
Here is a geometry-optimized AsPBr2N structure from the Alexandria database. Energies are from PBE.

Summary:
ΔE_f (raw)   30.114 kcal/mol of atoms
Magnetic moment   0.000 Bohr magnetons per cell
E_tot   -3.0402 eV per atom

abc: 4.4532 4.4532 4.7356
angles: 90.00 90.00 90.00
Last column: nearest neighbours and their distance in Å.
Sites, in units of the cell vectors:
As 0.0000 0.0000 0.5000  2 N 2.37
P 0.5000 0.5000 0.5000  4 As 3.15, 8 Br 3.25
N 0.0000 0.0000 0.0000  4 Br 2.23, 2 As 2.37
Br 0.5000 0.0000 0.0000  2 N 2.23
Br 0.0000 0.5000 0.0000  2 N 2.23



(3)
Here is a geometry-optimized TlSi2Au structure from the Alexandria database. Energies are from PBE.

Summary:
ΔE_f (raw)   13.336 kcal/mol of atoms
Magnetic moment   0.000 Bohr magnetons per cell
E_tot   -3.5441 eV per atom

abc: 4.8300 4.8300 4.8300
angles: 60.00 60.00 60.00
Last column: nearest neighbours and their distance in Å.
Sites, in units of the cell vectors:
Au 0.0000 0.0000 0.0000  8 Si 2.96
Si 0.2500 0.2500 0.2500  4 Tl 2.96, 4 Au 2.96
Tl 0.5000 0.5000 0.5000  8 Si 2.96
Si 0.7500 0.7500 0.7500  4 Tl 2.96, 4 Au 2.96



(4)
Here is a geometry-optimized BaCrFe2 structure from the Alexandria database. Energies are from PBE.

Summary:
Magnetic moment   1.277 Bohr magnetons per cell
E_tot   -5.9708 eV per atom

abc: 5.0073 5.0073 3.1343
angles: 90.00 90.00 90.00
Last column: nearest neighbours and their distance in Å.
Sites, in units of the cell vectors:
Fe 0.0000 0.0000 0.0000  4 Ba 2.95, 4 Cr 2.95, 2 Fe 3.13
Ba 0.5000 0.0000 0.5000  8 Fe 2.95, 2 Ba 3.13
Fe 0.5000 0.5000 0.0000  4 Cr 2.95, 4 Ba 2.95, 2 Fe 3.13
Cr 0.0000 0.5000 0.5000  8 Fe 2.95, 2 Cr 3.13